This record from Alexandria via LeMat-Bulk describes a geometry-optimized DyHf4Rh5 structure. The functional is PBE.

POSCAR file:
```
DyHf4Rh5
1.0
3.280 0.000 0.000
0.000 3.280 0.000
0.000 0.000 16.814
Dy Hf Rh
1 4 5
direct
0.000 0.000 0.000 Dy
0.000 0.000 0.207 Hf
0.000 0.000 0.403 Hf
0.000 0.000 0.597 Hf
0.000 0.000 0.793 Hf
0.500 0.500 0.121 Rh
0.500 0.500 0.310 Rh
0.500 0.500 0.500 Rh
0.500 0.500 0.690 Rh
0.500 0.500 0.879 Rh
```

Values from the calculation:
crystal system: tetragonal
DOS(E_F): 0.680 states/eV per atom
E_tot: -90.1 eV/cell